A plane-wave DFT calculation with PBE was carried out for an optimized crystal structure of TcGe2Pb2.

CIF file:
```
data_TcGe2Pb2
_chemical_formula_sum 'Tc2 Ge4 Pb4'
_space_group_name_H-M_alt 'P 1'
_space_group_IT_number 1
_space_group_name_Hall 'P 1'
_cell_length_a 6.6443
_cell_length_b 6.6443
_cell_length_c 5.1520
_cell_angle_alpha 90.00
_cell_angle_beta 90.00
_cell_angle_gamma 90.00
loop_
_atom_site_label
_atom_site_fract_x
_atom_site_fract_y
_atom_site_fract_z
Tc1 0.0000 0.0000 0.0000
Tc2 0.5000 0.5000 0.0000
Ge1 0.1491 0.3509 0.0000
Ge2 0.3509 0.8509 0.0000
Ge3 0.6491 0.1491 0.0000
Ge4 0.8509 0.6491 0.0000
Pb1 0.1806 0.6806 0.5000
Pb2 0.3194 0.1806 0.5000
Pb3 0.6806 0.8194 0.5000
Pb4 0.8194 0.3194 0.5000
```

Properties
- ΔE_f: 0.333 eV/atom
- Space group: P4/mbm, No. 127
- Total DFT energy (no corrections): -50.7 eV per cell